1.
# PmMnB2Os PBE-GGA relaxed
data_PmMnB2Os
_chemical_formula_sum 'Pm2 Mn2 B4 Os2'
_symmetry_space_group_name_H-M 'I -4 m 2'
_symmetry_Int_Tables_number 119
_symmetry_space_group_name_Hall 'I -4 -2'
_cell_length_a 3.803
_cell_length_b 3.803
_cell_length_c 10.112
_cell_angle_alpha 90.00
_cell_angle_beta 90.00
_cell_angle_gamma 90.00
loop_
_atom_site_label
_atom_site_fract_x
_atom_site_fract_y
_atom_site_fract_z
Pm1 0.000 0.000 0.000
Mn1 0.000 0.500 0.750
B1 0.000 0.000 0.340
Os1 0.000 0.500 0.250
# - Total energy: -8.054 eV/atom
# - ΔH_f (0 K): -0.35 eV/atom
# - ρ: 9353 kg/m3

2.
# MnB2OsPt PBE-GGA relaxed
data_MnB2OsPt
_chemical_formula_sum 'Mn1 B2 Os1 Pt1'
_symmetry_space_group_name_H-M 'P 4/m m m'
_symmetry_Int_Tables_number 123
_symmetry_space_group_name_Hall '-P 4 2'
_cell_length_a 3.843
_cell_length_b 3.843
_cell_length_c 4.460
_cell_angle_alpha 90.00
_cell_angle_beta 90.00
_cell_angle_gamma 90.00
loop_
_atom_site_label
_atom_site_fract_x
_atom_site_fract_y
_atom_site_fract_z
Mn1 0.000 0.000 0.000
B1 0.000 0.500 0.000
Os1 0.000 0.000 0.500
Pt1 0.500 0.500 0.500
# - Total energy: -6.690 eV/atom
# - ΔH_f (0 K): 1.27 eV/atom
# - ρ: 11643 kg/m3

3.
# RbMnB2Os PBE-GGA relaxed
data_RbMnB2Os
_chemical_formula_sum 'Rb1 Mn1 B2 Os1'
_symmetry_space_group_name_H-M 'P 4/m m m'
_symmetry_Int_Tables_number 123
_symmetry_space_group_name_Hall '-P 4 2'
_cell_length_a 4.194
_cell_length_b 4.194
_cell_length_c 4.543
_cell_angle_alpha 90.00
_cell_angle_beta 90.00
_cell_angle_gamma 90.00
loop_
_atom_site_label
_atom_site_fract_x
_atom_site_fract_y
_atom_site_fract_z
Rb1 0.000 0.000 0.000
Mn1 0.500 0.500 0.500
B1 0.000 0.500 0.500
Os1 0.500 0.500 0.000
# - Total energy: -5.377 eV/atom
# - ΔH_f (0 K): 1.57 eV/atom
# - ρ: 7322 kg/m3

4.
# Th2MnB12Os3 PBE-GGA relaxed
data_Th2MnB12Os3
_chemical_formula_sum 'Th6 Mn3 B36 Os9'
_symmetry_space_group_name_H-M 'R -3 m'
_symmetry_Int_Tables_number 166
_symmetry_space_group_name_Hall '-R 3 2"'
_cell_length_a 6.9624
_cell_length_b 6.9624
_cell_length_c 16.3618
_cell_angle_alpha 90.00
_cell_angle_beta 90.00
_cell_angle_gamma 120.00
loop_
_atom_site_label
_atom_site_fract_x
_atom_site_fract_y
_atom_site_fract_z
Th1 0.0000 0.0000 0.1361
Mn1 0.0000 0.0000 0.5000
B1 0.0387 0.5194 0.1305
B2 0.0523 0.5261 0.6647
Os1 0.0000 0.5000 0.0000
# - Total energy: -7.036 eV/atom
# - ΔH_f (0 K): 0.62 eV/atom
# - ρ: 8844 kg/m3

5.
# MnTl2BOs PBE-GGA relaxed
data_MnTl2BOs
_chemical_formula_sum 'Mn1 Tl2 B1 Os1'
_symmetry_space_group_name_H-M 'P 4/m m m'
_symmetry_Int_Tables_number 123
_symmetry_space_group_name_Hall '-P 4 2'
_cell_length_a 5.338
_cell_length_b 5.338
_cell_length_c 4.074
_cell_angle_alpha 90.00
_cell_angle_beta 90.00
_cell_angle_gamma 90.00
loop_
_atom_site_label
_atom_site_fract_x
_atom_site_fract_y
_atom_site_fract_z
Mn1 0.000 0.000 0.000
Tl1 0.000 0.500 0.500
B1 0.500 0.500 0.000
Os1 0.500 0.500 0.500
# - Total energy: -5.389 eV/atom
# - ΔH_f (0 K): 0.97 eV/atom
# - ρ: 9511 kg/m3

6.
# Mn3BP PBE-GGA relaxed
data_Mn3BP
_chemical_formula_sum 'Mn3 B1 P1'
_symmetry_space_group_name_H-M 'P m -3 m'
_symmetry_Int_Tables_number 221
_symmetry_space_group_name_Hall '-P 4 2 3'
_cell_length_a 3.788
_cell_length_b 3.788
_cell_length_c 3.788
_cell_angle_alpha 90.00
_cell_angle_beta 90.00
_cell_angle_gamma 90.00
loop_
_atom_site_label
_atom_site_fract_x
_atom_site_fract_y
_atom_site_fract_z
Mn1 0.000 0.000 0.500
B1 0.000 0.000 0.000
P1 0.500 0.500 0.500
# - Energy relative to the lowest polymorph listed for this composition: 0.00 kJ per mole of atoms
# - Total energy: -7.776 eV/atom
# - ΔH_f (0 K): 0.14 eV/atom
# - ρ: 6311 kg/m3

7.
# Mn5BP2 PBE-GGA relaxed
data_Mn5BP2
_chemical_formula_sum 'Mn10 B2 P4'
_symmetry_space_group_name_H-M 'I m m m'
_symmetry_Int_Tables_number 71
_symmetry_space_group_name_Hall '-I 2 2'
_cell_length_a 2.617
_cell_length_b 6.195
_cell_length_c 10.567
_cell_angle_alpha 90.00
_cell_angle_beta 90.00
_cell_angle_gamma 90.00
loop_
_atom_site_label
_atom_site_fract_x
_atom_site_fract_y
_atom_site_fract_z
Mn1 0.000 0.000 0.000
Mn2 0.000 0.210 0.379
B1 0.000 0.500 0.000
P1 0.000 0.000 0.205
# - Total energy: -8.166 eV/atom
# - ΔH_f (0 K): -0.25 eV/atom
# - ρ: 6737 kg/m3

8.
# MnBP PBE-GGA relaxed
data_MnBP
_chemical_formula_sum 'Mn3 B3 P3'
_symmetry_space_group_name_H-M 'R 3 m'
_symmetry_Int_Tables_number 160
_symmetry_space_group_name_Hall 'R 3 -2"'
_cell_length_a 2.9203
_cell_length_b 2.9203
_cell_length_c 12.1295
_cell_angle_alpha 90.00
_cell_angle_beta 90.00
_cell_angle_gamma 120.00
loop_
_atom_site_label
_atom_site_fract_x
_atom_site_fract_y
_atom_site_fract_z
Mn1 0.0000 0.0000 0.0000
B1 0.0000 0.0000 0.4325
P1 0.0000 0.0000 0.1933
# - Energy relative to the lowest polymorph listed for this composition: 17.47 kJ per mole of atoms
# - Total energy: -7.030 eV/atom
# - ΔH_f (0 K): 0.06 eV/atom
# - ρ: 5378 kg/m3

9.
# MnBP PBE-GGA relaxed
data_MnBP
_chemical_formula_sum 'Mn2 B2 P2'
_symmetry_space_group_name_H-M 'I m m 2'
_symmetry_Int_Tables_number 44
_symmetry_space_group_name_Hall 'I 2 -2'
_cell_length_a 3.042
_cell_length_b 3.127
_cell_length_c 6.639
_cell_angle_alpha 90.00
_cell_angle_beta 90.00
_cell_angle_gamma 90.00
loop_
_atom_site_label
_atom_site_fract_x
_atom_site_fract_y
_atom_site_fract_z
Mn1 0.000 0.000 0.000
B1 0.000 0.500 0.231
P1 0.000 0.000 0.386
# - Energy relative to the lowest polymorph listed for this composition: 22.57 kJ per mole of atoms
# - Total energy: -6.977 eV/atom
# - ΔH_f (0 K): 0.11 eV/atom
# - ρ: 5086 kg/m3

10.
# MnBP PBE-GGA relaxed
data_MnBP
_chemical_formula_sum 'Mn2 B2 P2'
_symmetry_space_group_name_H-M 'I 4 m m'
_symmetry_Int_Tables_number 107
_symmetry_space_group_name_Hall 'I 4 -2'
_cell_length_a 2.869
_cell_length_b 2.869
_cell_length_c 6.722
_cell_angle_alpha 90.00
_cell_angle_beta 90.00
_cell_angle_gamma 90.00
loop_
_atom_site_label
_atom_site_fract_x
_atom_site_fract_y
_atom_site_fract_z
Mn1 0.000 0.000 0.000
B1 0.000 0.000 0.658
P1 0.000 0.000 0.331
# - Energy relative to the lowest polymorph listed for this composition: 9.57 kJ per mole of atoms
# - Total energy: -7.112 eV/atom
# - ΔH_f (0 K): -0.03 eV/atom
# - ρ: 5804 kg/m3

11.
# MnBP PBE-GGA relaxed
data_MnBP
_chemical_formula_sum 'Mn2 B2 P2'
_symmetry_space_group_name_H-M 'I m m 2'
_symmetry_Int_Tables_number 44
_symmetry_space_group_name_Hall 'I 2 -2'
_cell_length_a 2.929
_cell_length_b 2.980
_cell_length_c 7.162
_cell_angle_alpha 90.00
_cell_angle_beta 90.00
_cell_angle_gamma 90.00
loop_
_atom_site_label
_atom_site_fract_x
_atom_site_fract_y
_atom_site_fract_z
Mn1 0.000 0.000 0.000
B1 0.000 0.000 0.551
P1 0.000 0.500 0.748
# - Energy relative to the lowest polymorph listed for this composition: 11.92 kJ per mole of atoms
# - Total energy: -7.088 eV/atom
# - ΔH_f (0 K): 0.00 eV/atom
# - ρ: 5139 kg/m3

12.
# MnBP PBE-GGA relaxed
data_MnBP
_chemical_formula_sum 'Mn4 B4 P4'
_symmetry_space_group_name_H-M 'C 1 2/m 1'
_symmetry_Int_Tables_number 12
_symmetry_space_group_name_Hall '-C 2y'
_cell_length_a 3.863
_cell_length_b 3.691
_cell_length_c 8.798
_cell_angle_alpha 90.00
_cell_angle_beta 91.95
_cell_angle_gamma 90.00
loop_
_atom_site_label
_atom_site_fract_x
_atom_site_fract_y
_atom_site_fract_z
Mn1 0.242 0.000 0.403
B1 0.200 0.500 0.041
P1 0.237 0.500 0.260
# - Energy relative to the lowest polymorph listed for this composition: 18.79 kJ per mole of atoms
# - Total energy: -7.016 eV/atom
# - ΔH_f (0 K): 0.07 eV/atom
# - ρ: 5125 kg/m3

13.
# MnBP PBE-GGA relaxed
data_MnBP
_chemical_formula_sum 'Mn2 B2 P2'
_symmetry_space_group_name_H-M 'I -4 m 2'
_symmetry_Int_Tables_number 119
_symmetry_space_group_name_Hall 'I -4 -2'
_cell_length_a 3.017
_cell_length_b 3.017
_cell_length_c 6.662
_cell_angle_alpha 90.00
_cell_angle_beta 90.00
_cell_angle_gamma 90.00
loop_
_atom_site_label
_atom_site_fract_x
_atom_site_fract_y
_atom_site_fract_z
Mn1 0.000 0.000 0.000
B1 0.000 0.500 0.750
P1 0.000 0.500 0.250
# - Energy relative to the lowest polymorph listed for this composition: 0.83 kJ per mole of atoms
# - Total energy: -7.203 eV/atom
# - ΔH_f (0 K): -0.12 eV/atom
# - ρ: 5298 kg/m3